Crystalline FeCoHg2 at its relaxed geometry, computed with PBE.

Results
Formation energy from the elements ... 765.2 meV per atom
ΔE to the lowest computed polymorph ... 474 meV/atom
Mass density ... 11752 kg/m3
Total moment ... 8.59 Bohr magnetons per cell
Crystal system ... tetragonal

abc: 7.2495 7.2495 5.8288
angles: 51.55 51.55 90.00
Sites, in units of the cell vectors:
Co (0.0000, 0.0000, 0.0000)
Co (0.7500, 0.2500, 0.5000)
Hg (0.6317, 0.1250, 0.2500)
Hg (0.1183, 0.6250, 0.2500)
Hg (0.3750, 0.3683, 0.7500)
Hg (0.8750, 0.8817, 0.7500)
Fe (0.5000, 0.5000, 0.0000)
Fe (0.2500, 0.7500, 0.5000)